# 1
A plane-wave DFT calculation with PBE-GGA was carried out for a relaxed TbDy2Ni crystal.

Calculated values
energy of formation	-82	kJ/mol of formula units
calculated volume	207.6	Å³/cell
energy relative to the lowest polymorph listed for this composition	32	meV per atom
space group	No. 63
E_tot	-5.118	eV/atom

a = 3.6505 Å, b = 6.2455 Å, c = 9.5196 Å
α = 90.00°, β = 90.00°, γ = 106.98°
With the nearest neighbours (Å) after each atom.
Sites, in units of the cell vectors:
Dy: 0.3625 0.7263 0.5697  2 Ni 2.77
Dy: 0.6375 0.2737 0.4303  2 Ni 2.77
Tb: 0.9190 0.8378 0.2500  2 Ni 2.85
Dy: 0.3625 0.7263 0.9303  2 Ni 2.77
Ni: 0.2361 0.4714 0.2500  4 Dy 2.77, 2 Tb 2.85
Dy: 0.6375 0.2737 0.0697  2 Ni 2.77
Tb: 0.0810 0.1622 0.7500  2 Ni 2.85
Ni: 0.7639 0.5286 0.7500  4 Dy 2.77, 2 Tb 2.85

***

# 2
A plane-wave DFT calculation with PBE-GGA was carried out for a relaxed CoNi2Rh crystal.

Calculated values
energy of formation	189	kJ/mol of formula units
calculated volume	104.1	Å³/cell
energy relative to the lowest polymorph listed for this composition	477	meV per atom
space group	No. 122
E_tot	-6.016	eV/atom

a = 6.4845 Å, b = 6.4845 Å, c = 5.2106 Å
α = 51.52°, β = 51.52°, γ = 90.00°
With the nearest neighbours (Å) after each atom.
Sites, in units of the cell vectors:
Co: 0.2500 0.7500 0.5000  4 Ni 2.28, 2 Rh 2.48
Ni: 0.1480 0.6250 0.2500  2 Co 2.28, 2 Rh 2.48, 2 Ni 2.49
Rh: 0.0000 0.0000 0.0000  2 Co 2.48, 4 Ni 2.48
Ni: 0.3750 0.3980 0.7500  2 Co 2.28, 2 Rh 2.48, 2 Ni 2.49
Co: 0.5000 0.5000 0.0000  4 Ni 2.28, 2 Rh 2.48
Ni: 0.8750 0.8520 0.7500  2 Co 2.28, 2 Rh 2.48, 2 Ni 2.49
Ni: 0.6020 0.1250 0.2500  2 Co 2.28, 2 Rh 2.48, 2 Ni 2.49
Rh: 0.7500 0.2500 0.5000  2 Co 2.48, 4 Ni 2.48

***

# 3
A plane-wave DFT calculation with PBE-GGA was carried out for a relaxed CuPt5 crystal.

Calculated values
energy of formation	157	kJ/mol of formula units
calculated volume	100.3	Å³/cell
space group	No. 216
E_tot	-5.446	eV/atom

a = 5.2159 Å, b = 5.2159 Å, c = 5.2159 Å
α = 60.00°, β = 60.00°, γ = 60.00°
With the nearest neighbours (Å) after each atom.
Sites, in units of the cell vectors:
Cu: 0.0000 0.0000 0.0000  16 Pt 3.06-3.19
Pt: 0.3751 0.3751 0.3751  6 Pt 2.61
Pt: 0.3751 0.3751 0.8748  6 Pt 2.61
Pt: 0.3751 0.8748 0.3751  6 Pt 2.61
Pt: 0.8748 0.3751 0.3751  6 Pt 2.61
Pt: 0.7500 0.7500 0.7500  12 Pt 3.06, 4 Cu 3.19

***

Please write out number 1 again, unchanged.
A plane-wave DFT calculation with PBE-GGA was carried out for a relaxed TbDy2Ni crystal.

Calculated values
energy of formation	-82	kJ/mol of formula units
calculated volume	207.6	Å³/cell
energy relative to the lowest polymorph listed for this composition	32	meV per atom
space group	No. 63
E_tot	-5.118	eV/atom

a = 3.6505 Å, b = 6.2455 Å, c = 9.5196 Å
α = 90.00°, β = 90.00°, γ = 106.98°
With the nearest neighbours (Å) after each atom.
Sites, in units of the cell vectors:
Dy: 0.3625 0.7263 0.5697  2 Ni 2.77
Dy: 0.6375 0.2737 0.4303  2 Ni 2.77
Tb: 0.9190 0.8378 0.2500  2 Ni 2.85
Dy: 0.3625 0.7263 0.9303  2 Ni 2.77
Ni: 0.2361 0.4714 0.2500  4 Dy 2.77, 2 Tb 2.85
Dy: 0.6375 0.2737 0.0697  2 Ni 2.77
Tb: 0.0810 0.1622 0.7500  2 Ni 2.85
Ni: 0.7639 0.5286 0.7500  4 Dy 2.77, 2 Tb 2.85

***

Question: energy of formation of number 3 (CuPt5)?
Answer: 157 kJ/mol of formula units

***

Question: Which value of energy of formation does entry 1 give?
Answer: -82 kJ/mol of formula units

***

Question: Which of these has the highest calculated volume?
Answer: TbDy2Ni